Entry 1:
DFT (PBE-GGA) results for a relaxed structure of NbAsF3.

Cell: 4.2567 4.2567 4.2567 Å, 90.00 90.00 90.00°
Closest atoms and distances in Å follow each position.
Positions (direct):
1 F 0.0000 0.5000 0.0000  2 Nb 2.13
2 F 0.5000 0.0000 0.0000  2 Nb 2.13
3 F 0.0000 0.0000 0.5000  2 Nb 2.13
4 As 0.5000 0.5000 0.5000  12 F 3.01
5 Nb 0.0000 0.0000 0.0000  6 F 2.13

Values from the calculation:
Raw formation energy = -6.43 eV/f.u.
Density of states at the Fermi level = 4.247 states/eV per cell
Energy relative to the lowest polymorph listed for this composition = 0.0 kJ/mol of atoms
Electronic total energy = -26.76 eV/cell

---

Entry 2:
DFT (PBE-GGA) results for a relaxed structure of NbAsF.

Cell: 3.9464 6.3029 7.9158 Å, 50.34 89.99 71.72°
Closest atoms and distances in Å follow each position.
Positions (direct):
1 As 0.0752 0.3488 0.4283  3 Nb 2.49-2.61, 1 As 2.71
2 As 0.9248 0.6512 0.5717  3 Nb 2.49-2.61, 1 As 2.71
3 F 0.6150 0.2723 0.0287  2 Nb 2.04-2.27
4 F 0.3850 0.7277 0.9713  2 Nb 2.04-2.27
5 Nb 0.6307 0.2383 0.3035  2 F 2.04-2.27
6 Nb 0.3693 0.7617 0.6965  2 F 2.04-2.27

Values from the calculation:
Raw formation energy = -3.70 eV/f.u.
Density of states at the Fermi level = 1.237 states/eV per cell
Electronic total energy = -40.58 eV/cell

---

Entry 3:
DFT (PBE-GGA) results for a relaxed structure of NbAsF3.

Cell: 4.3843 4.3843 4.3843 Å, 90.00 90.00 90.00°
Closest atoms and distances in Å follow each position.
Positions (direct):
1 Nb 0.5000 0.5000 0.5000  12 F 3.10
2 F 0.0000 0.5000 0.0000  2 As 2.19
3 F 0.5000 0.0000 0.0000  2 As 2.19
4 F 0.0000 0.0000 0.5000  2 As 2.19
5 As 0.0000 0.0000 0.0000  6 F 2.19

Values from the calculation:
Raw formation energy = -2.11 eV/f.u.
Density of states at the Fermi level = 6.324 states/eV per cell
Energy relative to the lowest polymorph listed for this composition = 83.3 kJ/mol of atoms
Electronic total energy = -22.45 eV/cell

---

Question: Which formula does entry 2 have?
Answer: NbAsF

---

Question: Which of these has the lowest raw formation energy?
Answer: number 1